1.
VASP calculation (PBE) on a geometry-optimized KLiY2 structure.

Unit cell a=6.1147 b=6.1147 c=7.4662 alpha=95.01 beta=95.01 gamma=32.61
Closest atoms and distances in Å follow each position.
Element x y z (fractional)
K  0.0000  0.0000  0.0000  2 K 3.43, 1 Li 3.77
Li  0.2501  0.2501  0.7175  5 Y 3.31-3.61, 2 Li 3.43
Y  0.5034  0.5034  0.5027  5 Y 3.39-3.43, 3 Li 3.50-3.61
Y  0.7636  0.7636  0.3405  2 Li 3.31, 5 Y 3.39-3.43

Values from the calculation:
- crystal system = monoclinic
- magnetic moment (μB/f.u.) = 0.00
- calculated total energy (eV/atom) = -3.57
- E_form (eV per atom) = 0.4170



2.
VASP calculation (PBE) on a geometry-optimized KLiY2 structure.

Unit cell a=3.4537 b=3.4537 c=12.5107 alpha=90.00 beta=90.00 gamma=112.84
Closest atoms and distances in Å follow each position.
Element x y z (fractional)
K  0.0000  0.0000  0.0000  6 K 3.45-3.82
Li  0.0000  0.0000  0.5000  4 Y 3.26, 4 Li 3.45
Y  0.5000  0.5000  0.2888  2 Li 3.26, 4 Y 3.45
Y  0.5000  0.5000  0.7112  2 Li 3.26, 4 Y 3.45

Values from the calculation:
- crystal system = orthorhombic
- magnetic moment (μB/f.u.) = 0.00
- calculated total energy (eV/atom) = -3.62
- E_form (eV per atom) = 0.3669



3.
VASP calculation (PBE) on a geometry-optimized KLiY2 structure.

Unit cell a=3.6694 b=3.6694 c=10.4646 alpha=90.00 beta=90.00 gamma=90.00
Closest atoms and distances in Å follow each position.
Element x y z (fractional)
K  0.0000  0.0000  0.0000  4 K 3.67
Li  0.0000  0.0000  0.5000  8 Y 3.15
Y  0.5000  0.5000  0.3302  4 Li 3.15
Y  0.5000  0.5000  0.6698  4 Li 3.15

Values from the calculation:
- crystal system = tetragonal
- magnetic moment (μB/f.u.) = 0.31
- calculated total energy (eV/atom) = -3.64
- E_form (eV per atom) = 0.3427



Number 1: relative energy among the computed polymorphs 0.829 eV per formula unit. Number 2: relative energy among the computed polymorphs 0.629 eV per formula unit. Number 3: relative energy among the computed polymorphs 0.533 eV per formula unit.